Entry from the Alexandria database: an optimized crystal structure of Ga2Ag7Au3 (GGA-PBE).

a b c (Å): 4.8552 2.9377 15.3806
angles (deg): 90.00 91.20 90.00
With the nearest neighbours (Å) after each atom.
Fractional coordinates of all 12 atoms:
Ga 0.1451 0.0000 0.2050  4 Ag 2.56-2.81, 2 Au 2.76
Ga 0.8549 0.0000 0.7950  4 Ag 2.56-2.81, 2 Au 2.76
Ag 0.1386 0.5000 0.3498  2 Ga 2.67, 2 Au 2.83, 7 Ag 2.87-2.94
Ag 0.2552 0.0000 0.0428  1 Ga 2.56, 2 Ag 2.74-2.78
Ag 0.3660 0.0000 0.6934  2 Ga 2.81-2.96, 6 Ag 2.91-2.94
Ag 0.5000 0.5000 0.5000  4 Au 2.84, 4 Ag 2.87-2.94
Ag 0.6340 0.0000 0.3066  2 Ga 2.81-2.96, 6 Ag 2.91-2.94
Ag 0.7448 0.0000 0.9572  1 Ga 2.56, 2 Ag 2.74-2.78
Ag 0.8614 0.5000 0.6502  2 Ga 2.67, 2 Au 2.83, 7 Ag 2.87-2.94
Au 0.0000 0.0000 0.5000  8 Ag 2.83-2.84, 2 Au 2.94
Au 0.2752 0.5000 0.8723  2 Ga 2.76, 2 Au 2.94, 4 Ag 2.99-3.01
Au 0.7248 0.5000 0.1277  2 Ga 2.76, 2 Au 2.94, 4 Ag 2.99-3.01

Summary:
The calculation puts the formation enthalpy at 0 K at 0.011 eV/atom. As for the space-group type: P2/m. The value obtained for the volume is 219 Å³/f.u. Its calculated total energy is -35.72 eV per cell. As for the crystal system: monoclinic.

***

Entry from the Alexandria database: an optimized crystal structure of Mn21Re2N6 (GGA-PBE).

a b c (Å): 7.3695 7.3695 7.3695
angles (deg): 60.00 60.00 60.00
With the nearest neighbours (Å) after each atom.
Fractional coordinates of all 29 atoms:
Mn 0.0000 0.0000 0.0000  12 Mn 2.45
Mn 0.0000 0.0000 0.3320  2 N 2.08
Mn 0.0000 0.0000 0.6680  2 N 2.08
Mn 0.0000 0.3320 0.0000  2 N 2.08
Mn 0.0000 0.3320 0.6680  2 N 2.08
Mn 0.0000 0.6680 0.0000  2 N 2.08
Mn 0.0000 0.6680 0.3320  2 N 2.08
Mn 0.1502 0.6166 0.6166  3 N 2.05
Mn 0.3320 0.0000 0.0000  2 N 2.08
Mn 0.3320 0.0000 0.6680  2 N 2.08
Mn 0.3320 0.6680 0.0000  2 N 2.08
Mn 0.3834 0.3834 0.3834  3 N 2.05
Mn 0.3834 0.3834 0.8498  3 N 2.05
Mn 0.3834 0.8498 0.3834  3 N 2.05
Mn 0.6166 0.1502 0.6166  3 N 2.05
Mn 0.6166 0.6166 0.1502  3 N 2.05
Mn 0.6166 0.6166 0.6166  3 N 2.05
Mn 0.6680 0.0000 0.0000  2 N 2.08
Mn 0.6680 0.0000 0.3320  2 N 2.08
Mn 0.6680 0.3320 0.0000  2 N 2.08
Mn 0.8498 0.3834 0.3834  3 N 2.05
Re 0.2500 0.2500 0.2500  4 Mn 2.41
Re 0.7500 0.7500 0.7500  4 Mn 2.41
N 0.2761 0.2761 0.7239  8 Mn 2.05-2.08
N 0.2761 0.7239 0.2761  8 Mn 2.05-2.08
N 0.2761 0.7239 0.7239  8 Mn 2.05-2.08
N 0.7239 0.2761 0.2761  8 Mn 2.05-2.08
N 0.7239 0.2761 0.7239  8 Mn 2.05-2.08
N 0.7239 0.7239 0.2761  8 Mn 2.05-2.08

Summary:
As for the space-group type: Fm-3m. The value obtained for the volume is 283 Å³/f.u. Its calculated total energy is -269.05 eV per cell. As for the crystal system: cubic. The calculation puts the energy relative to the elements, uncorrected at -0.056 eV/atom.

***

Entry from the Alexandria database: an optimized crystal structure of Nd2Tm2In5 (GGA-PBE).

a b c (Å): 9.4581 9.4581 9.4581
angles (deg): 81.47 135.29 115.96
With the nearest neighbours (Å) after each atom.
Fractional coordinates of all 18 atoms:
Nd 0.0270 0.1268 0.1539  6 In 3.18-3.56, 1 Nd 3.53
Nd 0.0270 0.3732 0.4002  6 In 3.18-3.56, 1 Nd 3.53
Nd 0.9730 0.6268 0.5998  6 In 3.18-3.56, 1 Nd 3.53
Nd 0.9730 0.8732 0.8461  6 In 3.18-3.56, 1 Nd 3.53
Tm 0.4279 0.6841 0.2438  6 In 3.15-3.53
Tm 0.4403 0.1841 0.7562  6 In 3.15-3.53
Tm 0.5648 0.0648 0.5000  6 In 3.08-3.22
Tm 0.5648 0.5648 0.0000  6 In 3.08-3.22
In 0.0987 0.2449 0.7679  3 In 2.96-3.18, 2 Tm 3.15-3.22, 1 Nd 3.18
In 0.0987 0.8308 0.3537  3 In 2.96-3.18, 2 Tm 3.15-3.22, 1 Nd 3.18
In 0.4770 0.3308 0.2321  3 In 2.96-3.18, 2 Tm 3.15-3.22, 1 Nd 3.18
In 0.4770 0.7449 0.6463  3 In 2.96-3.18, 2 Tm 3.15-3.22, 1 Nd 3.18
In 0.5148 0.0705 0.1407  2 In 2.81-2.96, 1 Tm 3.08
In 0.5148 0.8742 0.9443  2 In 2.81-2.96, 1 Tm 3.08
In 0.5251 0.4651 0.5600  2 Tm 3.15-3.16, 4 In 3.18-3.19, 2 Nd 3.45
In 0.9051 0.9651 0.4400  2 Tm 3.15-3.16, 4 In 3.18-3.19, 2 Nd 3.45
In 0.9298 0.3742 0.8593  2 In 2.81-2.96, 1 Tm 3.08
In 0.9298 0.5705 0.0557  2 In 2.81-2.96, 1 Tm 3.08

Summary:
The calculation puts the formation enthalpy at 0 K at -0.266 eV/atom. As for the space-group type: Ima2. The value obtained for the volume is 259 Å³/f.u. Its calculated total energy is -69.14 eV per cell. As for the crystal system: orthorhombic.

***

Entry from the Alexandria database: an optimized crystal structure of NbCuSi (GGA-PBE).

a b c (Å): 4.8579 4.8579 5.4715
angles (deg): 103.32 103.32 45.15
With the nearest neighbours (Å) after each atom.
Fractional coordinates of all 6 atoms:
Nb 0.0000 0.0000 0.0000  5 Si 2.58-2.88, 4 Cu 2.72-2.82, 2 Nb 2.87
Nb 0.7158 0.7158 0.2939  5 Si 2.56-2.85, 2 Cu 2.79
Cu 0.0489 0.0489 0.5291  4 Si 2.45-2.57, 1 Cu 2.59, 1 Nb 2.72
Cu 0.3466 0.3466 0.6653  3 Si 2.47-2.64, 1 Cu 2.59, 2 Nb 2.73
Si 0.4026 0.4026 0.2458  3 Cu 2.47-2.57, 5 Nb 2.56-2.76
Si 0.6719 0.6719 0.7929  4 Cu 2.45-2.64, 1 Nb 2.67

Summary:
As for the space-group type: Cm. The value obtained for the volume is 44 Å³/f.u. Its calculated total energy is -40.55 eV per cell. As for the crystal system: monoclinic. The calculation puts the energy relative to the elements, uncorrected at -0.229 eV/atom.